[1]
# CuSiHgF6, relaxed, DFT PBE
data_CuSiHgF6
_chemical_formula_sum 'Cu1 Si1 Hg1 F6'
_cell_length_a 5.238
_cell_length_b 5.238
_cell_length_c 6.643
_cell_angle_alpha 90.00
_cell_angle_beta 90.00
_cell_angle_gamma 120.00
_symmetry_space_group_name_H-M 'P 1'
_symmetry_Int_Tables_number 1
_symmetry_space_group_name_Hall 'P 1'
loop_
_atom_site_label
_atom_site_type_symbol
_atom_site_fract_x
_atom_site_fract_y
_atom_site_fract_z
Cu1 Cu 0.000 0.000 0.000
Si1 Si 0.333 0.667 0.000
Hg1 Hg 0.667 0.333 0.500
F1 F 0.071 0.390 0.148
F2 F 0.071 0.681 0.852
F3 F 0.319 0.390 0.852
F4 F 0.319 0.929 0.148
F5 F 0.610 0.681 0.148
F6 F 0.610 0.929 0.852
# Symmetry: P312
# E_tot, eV/cell: -40.618
# Size of the total moment, Bohr magnetons per cell: 1.02
# Crystal system: trigonal
# Formation energy from raw total energies, eV per formula unit: -19.6

---

[2]
# SrCuHgF6, relaxed, DFT PBE
data_SrCuHgF6
_chemical_formula_sum 'Sr1 Cu1 Hg1 F6'
_cell_length_a 5.737
_cell_length_b 5.737
_cell_length_c 5.156
_cell_angle_alpha 90.00
_cell_angle_beta 90.00
_cell_angle_gamma 120.00
_symmetry_space_group_name_H-M 'P 1'
_symmetry_Int_Tables_number 1
_symmetry_space_group_name_Hall 'P 1'
loop_
_atom_site_label
_atom_site_type_symbol
_atom_site_fract_x
_atom_site_fract_y
_atom_site_fract_z
Sr1 Sr 0.000 0.000 0.000
Cu1 Cu 0.667 0.333 0.500
Hg1 Hg 0.333 0.667 0.500
F1 F 0.367 0.036 0.723
F2 F 0.367 0.331 0.277
F3 F 0.669 0.036 0.277
F4 F 0.669 0.633 0.723
F5 F 0.964 0.331 0.723
F6 F 0.964 0.633 0.277
# Symmetry: P312
# E_tot, eV/cell: -37.516
# Size of the total moment, Bohr magnetons per cell: 1.00
# Crystal system: trigonal
# Formation energy from raw total energies, eV per formula unit: -20.2

---

[3]
# TiCuHgF2, relaxed, DFT PBE
data_TiCuHgF2
_chemical_formula_sum 'Ti1 Cu1 Hg1 F2'
_cell_length_a 4.471
_cell_length_b 4.471
_cell_length_c 5.142
_cell_angle_alpha 90.00
_cell_angle_beta 90.00
_cell_angle_gamma 90.00
_symmetry_space_group_name_H-M 'P 1'
_symmetry_Int_Tables_number 1
_symmetry_space_group_name_Hall 'P 1'
loop_
_atom_site_label
_atom_site_type_symbol
_atom_site_fract_x
_atom_site_fract_y
_atom_site_fract_z
Ti1 Ti 0.000 0.000 0.000
Cu1 Cu 0.500 0.500 0.000
Hg1 Hg 0.500 0.500 0.500
F1 F 0.000 0.500 0.500
F2 F 0.500 0.000 0.500
# Symmetry: P4/mmm
# E_tot, eV/cell: -16.457
# Size of the total moment, Bohr magnetons per cell: 2.64
# Crystal system: tetragonal
# Formation energy from raw total energies, eV per formula unit: -0.4

---

[4]
# Tl2CuHgF6, relaxed, DFT PBE
data_Tl2CuHgF6
_chemical_formula_sum 'Tl2 Cu1 Hg1 F6'
_cell_length_a 6.098
_cell_length_b 6.107
_cell_length_c 6.309
_cell_angle_alpha 61.11
_cell_angle_beta 61.35
_cell_angle_gamma 89.98
_symmetry_space_group_name_H-M 'P 1'
_symmetry_Int_Tables_number 1
_symmetry_space_group_name_Hall 'P 1'
loop_
_atom_site_label
_atom_site_type_symbol
_atom_site_fract_x
_atom_site_fract_y
_atom_site_fract_z
Tl1 Tl 0.249 0.248 0.000
Tl2 Tl 0.751 0.752 0.000
Cu1 Cu 0.000 0.500 0.500
Hg1 Hg 0.500 0.000 0.500
F1 F 0.165 0.765 0.507
F2 F 0.263 0.777 0.968
F3 F 0.272 0.337 0.492
F4 F 0.728 0.663 0.508
F5 F 0.737 0.223 0.032
F6 F 0.835 0.235 0.493
# Symmetry: P-1
# E_tot, eV/cell: -36.601
# Size of the total moment, Bohr magnetons per cell: 0.99
# Crystal system: triclinic
# Formation energy from raw total energies, eV per formula unit: -16.2

---

[5]
# Tl2Cu3HgF12, relaxed, DFT PBE
data_Tl2Cu3HgF12
_chemical_formula_sum 'Tl2 Cu3 Hg1 F12'
_cell_length_a 7.138
_cell_length_b 7.138
_cell_length_c 7.138
_cell_angle_alpha 63.10
_cell_angle_beta 63.10
_cell_angle_gamma 63.10
_symmetry_space_group_name_H-M 'P 1'
_symmetry_Int_Tables_number 1
_symmetry_space_group_name_Hall 'P 1'
loop_
_atom_site_label
_atom_site_type_symbol
_atom_site_fract_x
_atom_site_fract_y
_atom_site_fract_z
Tl1 Tl 0.121 0.121 0.121
Tl2 Tl 0.879 0.879 0.879
Cu1 Cu 0.000 0.500 0.500
Cu2 Cu 0.500 0.000 0.500
Cu3 Cu 0.500 0.500 0.000
Hg1 Hg 0.500 0.500 0.500
F1 F 0.106 0.616 0.616
F2 F 0.213 0.213 0.589
F3 F 0.213 0.589 0.213
F4 F 0.384 0.384 0.894
F5 F 0.384 0.894 0.384
F6 F 0.411 0.787 0.787
F7 F 0.589 0.213 0.213
F8 F 0.616 0.106 0.616
F9 F 0.616 0.616 0.106
F10 F 0.787 0.411 0.787
F11 F 0.787 0.787 0.411
F12 F 0.894 0.384 0.384
# Symmetry: R-3m
# E_tot, eV/cell: -67.786
# Size of the total moment, Bohr magnetons per cell: 3.33
# Crystal system: trigonal
# Formation energy from raw total energies, eV per formula unit: -28.0

---

[6]
# TlCuHgF6, relaxed, DFT PBE
data_TlCuHgF6
_chemical_formula_sum 'Tl2 Cu2 Hg2 F12'
_cell_length_a 5.733
_cell_length_b 5.733
_cell_length_c 9.816
_cell_angle_alpha 90.00
_cell_angle_beta 90.00
_cell_angle_gamma 120.00
_symmetry_space_group_name_H-M 'P 1'
_symmetry_Int_Tables_number 1
_symmetry_space_group_name_Hall 'P 1'
loop_
_atom_site_label
_atom_site_type_symbol
_atom_site_fract_x
_atom_site_fract_y
_atom_site_fract_z
Tl1 Tl 0.000 0.000 0.000
Tl2 Tl 0.000 0.000 0.500
Cu1 Cu 0.333 0.667 0.250
Cu2 Cu 0.667 0.333 0.750
Hg1 Hg 0.333 0.667 0.750
Hg2 Hg 0.667 0.333 0.250
F1 F 0.040 0.360 0.134
F2 F 0.040 0.680 0.366
F3 F 0.320 0.360 0.366
F4 F 0.320 0.960 0.134
F5 F 0.360 0.040 0.634
F6 F 0.360 0.320 0.866
F7 F 0.640 0.680 0.134
F8 F 0.640 0.960 0.366
F9 F 0.680 0.040 0.866
F10 F 0.680 0.640 0.634
F11 F 0.960 0.320 0.634
F12 F 0.960 0.640 0.866
# Symmetry: P-31c
# E_tot, eV/cell: -63.900
# Size of the total moment, Bohr magnetons per cell: 0.91
# Crystal system: trigonal
# Formation energy from raw total energies, eV per formula unit: -14.0

---

[7]
# Tl3Cu2HgF9, relaxed, DFT PBE
data_Tl3Cu2HgF9
_chemical_formula_sum 'Tl3 Cu2 Hg1 F9'
_cell_length_a 6.041
_cell_length_b 6.041
_cell_length_c 7.509
_cell_angle_alpha 90.00
_cell_angle_beta 90.00
_cell_angle_gamma 120.00
_symmetry_space_group_name_H-M 'P 1'
_symmetry_Int_Tables_number 1
_symmetry_space_group_name_Hall 'P 1'
loop_
_atom_site_label
_atom_site_type_symbol
_atom_site_fract_x
_atom_site_fract_y
_atom_site_fract_z
Tl1 Tl 0.000 0.000 0.000
Tl2 Tl 0.333 0.667 0.673
Tl3 Tl 0.667 0.333 0.327
Cu1 Cu 0.333 0.667 0.151
Cu2 Cu 0.667 0.333 0.849
Hg1 Hg 0.000 0.000 0.500
F1 F 0.000 0.500 0.000
F2 F 0.177 0.354 0.311
F3 F 0.177 0.823 0.311
F4 F 0.354 0.177 0.689
F5 F 0.500 0.000 0.000
F6 F 0.500 0.500 0.000
F7 F 0.646 0.823 0.311
F8 F 0.823 0.177 0.689
F9 F 0.823 0.646 0.689
# Symmetry: P-3m1
# E_tot, eV/cell: -56.762
# Size of the total moment, Bohr magnetons per cell: 2.00
# Crystal system: trigonal
# Formation energy from raw total energies, eV per formula unit: -24.3

---

[8]
# TlCuHg2F8, relaxed, DFT PBE
data_TlCuHg2F8
_chemical_formula_sum 'Tl1 Cu1 Hg2 F8'
_cell_length_a 4.040
_cell_length_b 5.566
_cell_length_c 8.010
_cell_angle_alpha 85.02
_cell_angle_beta 89.10
_cell_angle_gamma 86.27
_symmetry_space_group_name_H-M 'P 1'
_symmetry_Int_Tables_number 1
_symmetry_space_group_name_Hall 'P 1'
loop_
_atom_site_label
_atom_site_type_symbol
_atom_site_fract_x
_atom_site_fract_y
_atom_site_fract_z
Tl1 Tl 0.000 0.000 0.000
Cu1 Cu 0.000 0.000 0.500
Hg1 Hg 0.477 0.471 0.263
Hg2 Hg 0.523 0.529 0.737
F1 F 0.044 0.326 0.785
F2 F 0.060 0.158 0.278
F3 F 0.382 0.763 0.480
F4 F 0.482 0.762 0.975
F5 F 0.518 0.238 0.025
F6 F 0.618 0.237 0.520
F7 F 0.940 0.842 0.722
F8 F 0.956 0.674 0.215
# Symmetry: P-1
# E_tot, eV/cell: -40.254
# Size of the total moment, Bohr magnetons per cell: 0.76
# Crystal system: triclinic
# Formation energy from raw total energies, eV per formula unit: -18.2

---

[9]
# TlCu2HgF8, relaxed, DFT PBE
data_TlCu2HgF8
_chemical_formula_sum 'Tl1 Cu2 Hg1 F8'
_cell_length_a 6.755
_cell_length_b 6.755
_cell_length_c 6.755
_cell_angle_alpha 131.85
_cell_angle_beta 131.85
_cell_angle_gamma 70.47
_symmetry_space_group_name_H-M 'P 1'
_symmetry_Int_Tables_number 1
_symmetry_space_group_name_Hall 'P 1'
loop_
_atom_site_label
_atom_site_type_symbol
_atom_site_fract_x
_atom_site_fract_y
_atom_site_fract_z
Tl1 Tl 0.000 0.000 0.000
Cu1 Cu 0.500 0.500 0.000
Cu2 Cu 0.750 0.250 0.500
Hg1 Hg 0.250 0.750 0.500
F1 F 0.257 0.713 0.104
F2 F 0.287 0.392 0.545
F3 F 0.389 0.020 0.057
F4 F 0.608 0.153 0.896
F5 F 0.668 0.611 0.631
F6 F 0.847 0.743 0.455
F7 F 0.963 0.332 0.943
F8 F 0.980 0.037 0.369
# Symmetry: I-4
# E_tot, eV/cell: -44.073
# Size of the total moment, Bohr magnetons per cell: 1.09
# Crystal system: tetragonal
# Formation energy from raw total energies, eV per formula unit: -18.2